Record 1
# Pm4HoEr4 PBE-GGA relaxed
# Energy above the most stable polymorph in this dataset   85 meV per atom
# ΔH_f (0 K)   0.11 eV per atom
data_Pm4HoEr4
_chemical_formula_sum 'Pm8 Ho2 Er8'
_cell_length_a 16.827
_cell_length_b 5.577
_cell_length_c 6.801
_cell_angle_alpha 90.00
_cell_angle_beta 113.32
_cell_angle_gamma 90.00
_space_group_name_H-M_alt 'C 1 2/m 1'
_space_group_IT_number 12
loop_
_space_group_symop_operation_xyz
'x,y,z'
'-x,-y,-z'
'-x,y,-z'
'x,-y,z'
'x+1/2,y+1/2,z'
'-x+1/2,-y+1/2,-z'
'-x+1/2,y+1/2,-z'
'x+1/2,-y+1/2,z'
loop_
_atom_site_label
_atom_site_type_symbol
_atom_site_fract_x
_atom_site_fract_y
_atom_site_fract_z
_atom_site_occupancy
Pm1 Pm 0.133 0.000 0.459 1
Pm2 Pm 0.220 0.500 0.786 1
Ho1 Ho 0.000 0.500 0.500 1
Er1 Er 0.072 0.000 0.875 1
Er2 Er 0.123 0.500 0.174 1



Record 2
# Pm5Sm4Ho4 PBE-GGA relaxed
# ΔH_f (0 K)   0.02 eV per atom
data_Pm5Sm4Ho4
_chemical_formula_sum 'Pm10 Sm8 Ho8'
_cell_length_a 13.022
_cell_length_b 13.022
_cell_length_c 5.080
_cell_angle_alpha 90.00
_cell_angle_beta 90.00
_cell_angle_gamma 90.00
_space_group_name_H-M_alt 'I 4/m'
_space_group_IT_number 87
_space_group_name_Hall '-I 4'
loop_
_atom_site_label
_atom_site_type_symbol
_atom_site_fract_x
_atom_site_fract_y
_atom_site_fract_z
_atom_site_occupancy
Pm1 Pm 0.000 0.000 0.000 1
Pm2 Pm 0.040 0.192 0.500 1
Sm1 Sm 0.077 0.384 0.000 1
Ho1 Ho 0.154 0.768 0.000 1



Record 3
# RbBa2Y PBE-GGA relaxed
# Energy above the most stable polymorph in this dataset   0 meV per atom
# ΔH_f (0 K)   0.38 eV per atom
data_RbBa2Y
_chemical_formula_sum 'Rb4 Ba8 Y4'
_cell_length_a 9.556
_cell_length_b 9.556
_cell_length_c 9.556
_cell_angle_alpha 90.00
_cell_angle_beta 90.00
_cell_angle_gamma 90.00
_space_group_name_H-M_alt 'F m -3 m'
_space_group_IT_number 225
_space_group_name_Hall '-F 4 2 3'
loop_
_atom_site_label
_atom_site_type_symbol
_atom_site_fract_x
_atom_site_fract_y
_atom_site_fract_z
_atom_site_occupancy
Rb1 Rb 0.000 0.000 0.000 1
Ba1 Ba 0.250 0.250 0.250 1
Y1 Y 0.000 0.000 0.500 1



Record 4
# ZrBe4Cu PBE-GGA relaxed
# ΔH_f (0 K)   0.03 eV per atom
data_ZrBe4Cu
_chemical_formula_sum 'Zr4 Be16 Cu4'
_cell_length_a 6.490
_cell_length_b 6.490
_cell_length_c 6.490
_cell_angle_alpha 90.00
_cell_angle_beta 90.00
_cell_angle_gamma 90.00
_space_group_name_H-M_alt 'F -4 3 m'
_space_group_IT_number 216
_space_group_name_Hall 'F -4 2 3'
loop_
_atom_site_label
_atom_site_type_symbol
_atom_site_fract_x
_atom_site_fract_y
_atom_site_fract_z
_atom_site_occupancy
Zr1 Zr 0.000 0.000 0.000 1
Be1 Be 0.127 0.127 0.627 1
Cu1 Cu 0.250 0.250 0.250 1



Raw total energy in eV/atom, matching the order above: -4.54 -4.67 -2.44 -4.56